Model w:
{"formula": "Na8Bi2Sb", "functional": "PBE", "state": "relaxed", "magmom_total_mub_per_cell": 0.00, "spacegroup": "No. 1", "dos_at_fermi_per_ev_atom": 0.72, "cell": [[5.2483, 0.0000, 0.0000], [-0.0010, 7.9373, 0.0000], [-2.6208, -3.9645, 8.1160]], "species": ["Na", "Na", "Na", "Na", "Na", "Na", "Na", "Na", "Bi", "Bi", "Sb"], "frac_coords": [[0.0000, 0.0000, 0.0000], [0.0351, 0.5252, 0.0718], [0.2367, 0.3935, 0.4751], [0.3384, 0.8646, 0.6791], [0.4421, 0.6000, 0.8856], [0.6432, 0.1325, 0.2865], [0.6784, 0.6784, 0.3587], [0.8366, 0.1873, 0.6791], [0.1792, 0.9448, 0.3588], [0.4991, 0.2653, 0.9993], [0.8390, 0.5989, 0.6797]]}

Model x:
{"formula": "Na8Bi2Sb", "functional": "PBE", "state": "relaxed", "magmom_total_mub_per_cell": 0.00, "spacegroup": "No. 12", "dos_at_fermi_per_ev_atom": 0.76, "cell": [[8.8431, -2.6603, 0.0000], [8.8431, 2.6603, 0.0000], [-3.3957, 0.0000, 6.9712]], "species": ["Na", "Na", "Na", "Na", "Na", "Na", "Na", "Na", "Bi", "Bi", "Sb"], "frac_coords": [[0.0002, 0.0002, 0.2275], [0.9998, 0.9998, 0.7725], [0.1688, 0.1688, 0.6698], [0.3501, 0.3501, 0.0826], [0.3496, 0.3496, 0.6167], [0.6504, 0.6504, 0.3833], [0.6499, 0.6499, 0.9174], [0.8312, 0.8312, 0.3302], [0.1822, 0.1822, 0.1819], [0.8178, 0.8178, 0.8181], [0.5000, 0.5000, 0.5000]]}

Most stable structure, least stable structure: model x, model w.